[1]
Density functional theory data (GGA-PBE) for Th2MgSc3 after structural relaxation.

```
Th2MgSc3
1.0
3.512 0.000 0.000
0.000 3.512 0.000
0.000 0.000 13.000
Th Mg Sc
2 1 3
Direct
0.500 0.500 0.822 Th
0.500 0.500 0.178 Th
0.500 0.500 0.500 Mg
0.000 0.000 0.000 Sc
0.000 0.000 0.650 Sc
0.000 0.000 0.350 Sc
```

Results
ΔE_f (eV per atom): -0.012
Space group: P4/mmm, No. 123

[2]
Density functional theory data (GGA-PBE) for Ac6Pt3Cl after structural relaxation.

```
Ac6Pt3Cl
1.0
4.427 0.000 0.000
0.000 12.743 -4.158
0.000 -1.092 13.039
Ac Pt Cl
12 6 2
Direct
0.750 0.418 0.585 Ac
0.250 0.582 0.415 Ac
0.750 0.923 0.073 Ac
0.250 0.077 0.927 Ac
0.750 0.396 0.058 Ac
0.250 0.604 0.942 Ac
0.750 0.727 0.259 Ac
0.250 0.273 0.741 Ac
0.750 0.092 0.424 Ac
0.250 0.908 0.576 Ac
0.750 0.744 0.739 Ac
0.250 0.256 0.261 Ac
0.750 0.439 0.832 Pt
0.250 0.561 0.168 Pt
0.750 0.745 0.499 Pt
0.250 0.255 0.501 Pt
0.750 0.162 0.095 Pt
0.250 0.838 0.905 Pt
0.750 0.088 0.747 Cl
0.250 0.912 0.253 Cl
```

Results
Formation energy without anion corrections (kcal/mol of atoms): -23.28
Space group: P2_1/m, No. 11

[3]
Density functional theory data (GGA-PBE) for Tb12Ho5In2 after structural relaxation.

```
Tb12Ho5In2
1.0
-4.316 -4.499 6.837
5.238 -4.352 -5.818
6.467 1.526 5.086
Tb Ho In
12 5 2
Direct
0.917 0.833 0.115 Tb
0.036 0.702 0.763 Tb
0.666 0.702 0.763 Tb
0.180 0.750 0.339 Tb
0.571 0.750 0.339 Tb
0.446 0.891 0.675 Tb
0.554 0.109 0.325 Tb
0.820 0.250 0.661 Tb
0.429 0.250 0.661 Tb
0.964 0.298 0.237 Tb
0.334 0.298 0.237 Tb
0.083 0.167 0.885 Tb
0.233 0.467 0.581 Ho
0.310 0.621 0.992 Ho
0.000 0.000 0.500 Ho
0.690 0.379 0.008 Ho
0.767 0.533 0.419 Ho
0.679 0.000 0.000 In
0.321 0.000 0.000 In
```

Results
ΔE_f (eV per atom): -0.005
Space group: C2/m, No. 12

[4]
Density functional theory data (GGA-PBE) for MgNbAu after structural relaxation.

```
MgNbAu
1.0
6.344 0.012 -0.012
1.365 6.132 0.016
-0.713 0.152 2.923
Mg Au Nb
2 2 2
Direct
0.603 0.818 0.367 Mg
0.996 0.965 0.064 Mg
0.314 0.151 0.723 Au
0.286 0.632 0.709 Au
0.962 0.453 0.047 Nb
0.638 0.330 0.385 Nb
```

Results
ΔE_f (eV per atom): -0.091
Space group: C2/m, No. 12

[5]
Density functional theory data (GGA-PBE) for CePuCdGe after structural relaxation.

```
CePuCdGe
1.0
-2.367 1.219 -4.503
-5.203 0.512 -0.165
-2.144 4.730 -0.631
Ge Cd Ce Pu
1 1 1 1
Direct
0.250 0.250 0.250 Ge
0.750 0.750 0.750 Cd
0.500 0.500 0.500 Ce
0.000 0.000 0.000 Pu
```

Results
ΔE_f (eV per atom): -0.255
Space group: F-43m, No. 216

[6]
Density functional theory data (GGA-PBE) for TlReNi3 after structural relaxation.

```
TlReNi3
1.0
4.585 0.000 0.000
0.000 4.585 0.000
0.000 0.000 4.585
Re Tl Ni
1 1 3
Direct
0.000 0.000 0.000 Re
0.500 0.500 0.500 Tl
0.000 0.500 0.000 Ni
0.000 0.000 0.500 Ni
0.500 0.000 0.000 Ni
```

Results
ΔE_f (eV per atom): 1.186
Offset from the most stable computed form (meV/atom): 0.0
Space group: Pm-3m, No. 221

[7]
Density functional theory data (GGA-PBE) for PmDySCl after structural relaxation.

```
PmDySCl
1.0
-0.290 2.000 -3.252
-2.687 -2.573 0.914
-2.732 4.780 5.425
Pm Dy S Cl
1 1 1 1
Direct
0.940 0.368 0.323 Pm
0.327 0.562 0.904 Dy
0.128 0.962 0.105 S
0.483 0.140 0.637 Cl
```

Results
Formation energy without anion corrections (kcal/mol of atoms): -37.07
Space group: Cm, No. 8

[8]
Density functional theory data (GGA-PBE) for SbBrF2 after structural relaxation.

```
SbBrF2
1.0
-2.959 -1.529 -2.877
0.251 -4.047 4.687
-5.434 3.798 3.570
Sb Br F
2 2 4
Direct
0.581 0.515 0.250 Sb
0.419 0.485 0.750 Sb
0.416 0.875 0.250 Br
0.584 0.125 0.750 Br
0.238 0.370 0.427 F
0.762 0.630 0.573 F
0.762 0.630 0.927 F
0.238 0.370 0.073 F
```

Results
Formation energy without anion corrections (kcal/mol of atoms): -39.93
Offset from the most stable computed form (meV/atom): 0.0
Space group: P2_1/m, No. 11